Model 1:
Density functional theory data (PBE) for crystalline SrRuPt at its relaxed geometry.

Structure (CIF):
```
data_SrRuPt
_chemical_formula_sum 'Sr1 Ru1 Pt1'
_symmetry_space_group_name_H-M 'P 3 m 1'
_symmetry_Int_Tables_number 156
_symmetry_space_group_name_Hall 'P 3 -2"'
_cell_length_a 3.1065
_cell_length_b 3.1065
_cell_length_c 7.1656
_cell_angle_alpha 90.00
_cell_angle_beta 90.00
_cell_angle_gamma 120.00
loop_
_atom_site_label
_atom_site_type_symbol
_atom_site_fract_x
_atom_site_fract_y
_atom_site_fract_z
Sr1 Sr 0.0000 0.0000 0.0000
Ru1 Ru 0.3333 0.6667 0.6437
Pt1 Pt 0.6667 0.3333 0.3622
```

Magnetization ... 0.44 Bohr magnetons per cell
Density ... 10.6 g/cm³
Crystal system ... trigonal

Model 2:
Density functional theory data (PBE) for crystalline SrRuPt at its relaxed geometry.

Structure (CIF):
```
data_SrRuPt
_chemical_formula_sum 'Sr1 Ru1 Pt1'
_symmetry_space_group_name_H-M 'P -6 m 2'
_symmetry_Int_Tables_number 187
_symmetry_space_group_name_Hall 'P -6 2'
_cell_length_a 4.3118
_cell_length_b 4.3118
_cell_length_c 4.5942
_cell_angle_alpha 90.00
_cell_angle_beta 90.00
_cell_angle_gamma 120.00
loop_
_atom_site_label
_atom_site_type_symbol
_atom_site_fract_x
_atom_site_fract_y
_atom_site_fract_z
Sr1 Sr 0.0000 0.0000 0.0000
Ru1 Ru 0.3333 0.6667 0.5000
Pt1 Pt 0.6667 0.3333 0.5000
```

Magnetization ... 1.61 Bohr magnetons per cell
Density ... 8.6 g/cm³
Crystal system ... hexagonal

Model 3:
Density functional theory data (PBE) for crystalline SrRuPt at its relaxed geometry.

Structure (CIF):
```
data_SrRuPt
_chemical_formula_sum 'Sr4 Ru4 Pt4'
_symmetry_space_group_name_H-M 'F -4 3 m'
_symmetry_Int_Tables_number 216
_symmetry_space_group_name_Hall 'F -4 2 3'
_cell_length_a 6.653
_cell_length_b 6.653
_cell_length_c 6.653
_cell_angle_alpha 90.00
_cell_angle_beta 90.00
_cell_angle_gamma 90.00
loop_
_atom_site_label
_atom_site_type_symbol
_atom_site_fract_x
_atom_site_fract_y
_atom_site_fract_z
Sr1 Sr 0.000 0.000 0.000
Ru1 Ru 0.250 0.250 0.250
Pt1 Pt 0.250 0.250 0.750
```

Magnetization ... 7.23 Bohr magnetons per cell
Density ... 8.7 g/cm³
Crystal system ... cubic

model 2 wins, 71.6 kJ/mol of atoms ahead of the next structure.